# 1
# MgSc2BAs SCAN PBEsol geometry
# Energy relative to the elements   0.317 eV/atom
data_MgSc2BAs
_cell_length_a 5.0915
_cell_length_b 5.0915
_cell_length_c 3.9982
_cell_angle_alpha 90.00
_cell_angle_beta 90.00
_cell_angle_gamma 90.00
_space_group_name_H-M_alt 'P 4/m m m'
_space_group_IT_number 123
_space_group_name_Hall '-P 4 2'
loop_
_atom_site_label
_atom_site_type_symbol
_atom_site_fract_x
_atom_site_fract_y
_atom_site_fract_z
Mg1 Mg 0.0000 0.0000 0.0000
Sc1 Sc 0.0000 0.5000 0.5000
B1 B 0.5000 0.5000 0.0000
As1 As 0.5000 0.5000 0.5000

# 2
# MgBAs2Se SCAN PBEsol geometry
# Energy above the most stable polymorph in this dataset   886 meV per atom
# ΔE_f (raw)   1.447 eV per atom
data_MgBAs2Se
_cell_length_a 4.8733
_cell_length_b 4.8733
_cell_length_c 4.9497
_cell_angle_alpha 90.00
_cell_angle_beta 90.00
_cell_angle_gamma 90.00
_space_group_name_H-M_alt 'P 4/m m m'
_space_group_IT_number 123
_space_group_name_Hall '-P 4 2'
loop_
_atom_site_label
_atom_site_type_symbol
_atom_site_fract_x
_atom_site_fract_y
_atom_site_fract_z
Mg1 Mg 0.0000 0.0000 0.0000
B1 B 0.5000 0.5000 0.5000
As1 As 0.0000 0.5000 0.0000
Se1 Se 0.0000 0.0000 0.5000

# 3
# MgBAs2Se SCAN PBEsol geometry
# Energy above the most stable polymorph in this dataset   0 meV per atom
# ΔE_f (raw)   0.560 eV per atom
data_MgBAs2Se
_cell_length_a 4.3045
_cell_length_b 4.3045
_cell_length_c 4.7779
_cell_angle_alpha 90.00
_cell_angle_beta 90.00
_cell_angle_gamma 90.00
_space_group_name_H-M_alt 'P 4/m m m'
_space_group_IT_number 123
_space_group_name_Hall '-P 4 2'
loop_
_atom_site_label
_atom_site_type_symbol
_atom_site_fract_x
_atom_site_fract_y
_atom_site_fract_z
Mg1 Mg 0.0000 0.0000 0.0000
B1 B 0.5000 0.5000 0.5000
As1 As 0.0000 0.5000 0.5000
Se1 Se 0.5000 0.5000 0.0000

# 4
# MnB2As SCAN PBEsol geometry
# Energy relative to the elements   0.474 eV/atom
data_MnB2As
_cell_length_a 4.7148
_cell_length_b 4.7148
_cell_length_c 9.2912
_cell_angle_alpha 90.00
_cell_angle_beta 90.00
_cell_angle_gamma 90.00
_space_group_name_H-M_alt 'I -4 2 d'
_space_group_IT_number 122
_space_group_name_Hall 'I -4 2bw'
loop_
_atom_site_label
_atom_site_type_symbol
_atom_site_fract_x
_atom_site_fract_y
_atom_site_fract_z
Mn1 Mn 0.0000 0.0000 0.0000
B1 B 0.2416 0.2500 0.1250
As1 As 0.0000 0.0000 0.5000